This record from Alexandria describes PmYHo5Sc2 after structural relaxation. The functional is PBE-GGA.

Calculated values
Formation enthalpy at 0 K   4.0 kcal/mol of atoms
Crystal system   orthorhombic
Size of the total moment   0.0 μB/f.u.
Symmetry   Cmc2_1

Cell: 11.1134 11.1134 9.2848 Å, 90.00 90.00 150.95°
Fractional coordinates of all 18 atoms:
Pm: 0.1854 0.8146 0.5000
Pm: 0.8146 0.1854 0.0000
Y: 0.4031 0.5969 0.0993
Y: 0.5969 0.4031 0.5993
Ho: 0.0077 0.9923 0.4987
Ho: 0.2647 0.7353 0.1828
Ho: 0.3081 0.6919 0.7975
Ho: 0.3921 0.6079 0.4716
Ho: 0.4682 0.5317 0.7689
Ho: 0.5317 0.4682 0.2689
Ho: 0.6079 0.3921 0.9716
Ho: 0.6919 0.3081 0.2975
Ho: 0.7353 0.2647 0.6828
Ho: 0.9923 0.0077 0.9987
Sc: 0.1130 0.8870 0.1940
Sc: 0.1411 0.8589 0.8233
Sc: 0.8589 0.1411 0.3233
Sc: 0.8870 0.1130 0.6940